1.
# GGA-PBE LiPt, relaxed
# crystal system	cubic
# M_tot	7.40	Bohr magnetons per cell
# ρ	5.33	g/cm3
# formation energy	493.5	meV/atom
data_LiPt
_symmetry_space_group_name_H-M 'I -4 3 m'
_symmetry_Int_Tables_number 217
_symmetry_space_group_name_Hall 'I -4 2 3'
_cell_length_a 7.9553
_cell_length_b 7.9553
_cell_length_c 7.9553
_cell_angle_alpha 90.00
_cell_angle_beta 90.00
_cell_angle_gamma 90.00
loop_
_atom_site_label
_atom_site_type_symbol
_atom_site_fract_x
_atom_site_fract_y
_atom_site_fract_z
_atom_site_occupancy
Li1 Li 0.1941 0.1941 0.1941 1
Pt1 Pt 0.1183 0.1183 0.8817 1

2.
# GGA-PBE LiPt, relaxed
# crystal system	cubic
# M_tot	0.00	Bohr magnetons per cell
# ρ	8.49	g/cm3
# formation energy	827.7	meV/atom
data_LiPt
_symmetry_space_group_name_H-M 'F -4 3 m'
_symmetry_Int_Tables_number 216
_symmetry_space_group_name_Hall 'F -4 2 3'
_cell_length_a 5.4063
_cell_length_b 5.4063
_cell_length_c 5.4063
_cell_angle_alpha 90.00
_cell_angle_beta 90.00
_cell_angle_gamma 90.00
loop_
_atom_site_label
_atom_site_type_symbol
_atom_site_fract_x
_atom_site_fract_y
_atom_site_fract_z
_atom_site_occupancy
Li1 Li 0.0000 0.0000 0.0000 1
Pt1 Pt 0.2500 0.2500 0.2500 1

3.
# GGA-PBE LiPt3, relaxed
# crystal system	orthorhombic
# M_tot	0.00	Bohr magnetons per cell
# ρ	15.32	g/cm3
# formation energy	-195.4	meV/atom
data_LiPt3
_symmetry_space_group_name_H-M 'C m c m'
_symmetry_Int_Tables_number 63
_symmetry_space_group_name_Hall '-C 2c 2'
_cell_length_a 7.4644
_cell_length_b 7.3672
_cell_length_c 4.6678
_cell_angle_alpha 90.00
_cell_angle_beta 90.00
_cell_angle_gamma 90.00
loop_
_atom_site_label
_atom_site_type_symbol
_atom_site_fract_x
_atom_site_fract_y
_atom_site_fract_z
_atom_site_occupancy
Li1 Li 0.0000 0.0459 0.2500 1
Pt1 Pt 0.0000 0.3930 0.2500 1
Pt2 Pt 0.1773 0.2769 0.7500 1

> What is the formation energy in the second record?

827.7 meV/atom

> What is the ρ in the third record?

15.32 g/cm3

> Among the records above, which one has the lowest formation energy?

LiPt3